1.
# HgRu3Pt

A relaxed structure of HgRu3Pt (PBE, the Alexandria database).

Lattice parameters (Å, degrees): 4.830 4.830 4.830 90.00 90.00 90.00
Atoms (fractional coordinates):
Ru: 0.000 0.500 0.000
Ru: 0.000 0.000 0.500
Ru: 0.500 0.000 0.000
Hg: 0.500 0.500 0.500
Pt: 0.000 0.000 0.000

Energy above the lowest structure with this stoichiometry ... 0.000 eV per formula unit
Calculated volume ... 112.7 Å³/cell
Total magnetic moment ... 1.1995 μB/atom
Density ... 10.30 g/cm3
Raw total energy ... -0.1868 hartree per atom

***

2.
# Li2PaTlCl8

A relaxed structure of Li2PaTlCl8 (PBE, the Alexandria database).

Lattice parameters (Å, degrees): 6.359 6.353 9.439 89.88 89.90 78.66
Atoms (fractional coordinates):
Li: 0.500 0.500 0.658
Li: 0.500 0.500 0.342
Pa: 0.000 0.000 0.000
Tl: 0.000 0.000 0.500
Cl: 0.220 0.773 0.198
Cl: 0.741 0.750 0.000
Cl: 0.779 0.226 0.197
Cl: 0.780 0.227 0.802
Cl: 0.259 0.250 0.000
Cl: 0.221 0.774 0.803
Cl: 0.677 0.682 0.499
Cl: 0.323 0.318 0.501

Formation energy (no corrections) ... -1662.1 meV/atom
Calculated volume ... 373.8 Å³/cell
Total magnetic moment ... 0.0000 μB/atom
Density ... 3.26 g/cm3
Raw total energy ... -0.1544 hartree per atom

***

3.
# Rb4CeTh3S8

A relaxed structure of Rb4CeTh3S8 (PBE, the Alexandria database).

Lattice parameters (Å, degrees): 8.317 9.154 8.316 117.02 120.00 90.00
Atoms (fractional coordinates):
Rb: 0.500 0.000 0.000
Rb: 0.500 0.000 0.500
Rb: 0.000 0.000 0.000
Rb: 0.000 0.000 0.500
Ce: 0.000 0.500 0.000
Th: 0.500 0.500 0.000
Th: 0.500 0.500 0.500
Th: 0.000 0.500 0.500
S: 0.236 0.701 0.965
S: 0.236 0.701 0.472
S: 0.266 0.299 0.532
S: 0.729 0.701 0.965
S: 0.271 0.299 0.035
S: 0.734 0.701 0.468
S: 0.764 0.299 0.528
S: 0.764 0.299 0.035

Formation energy (no corrections) ... -1681.1 meV/atom
Calculated volume ... 466.8 Å³/cell
Total magnetic moment ... 0.1265 μB/atom
Density ... 5.10 g/cm3
Raw total energy ... -0.2113 hartree per atom

***

4.
# LaH6Ru2

A relaxed structure of LaH6Ru2 (PBE, the Alexandria database).

Lattice parameters (Å, degrees): 4.243 4.243 5.080 101.45 101.45 93.83
Atoms (fractional coordinates):
La: 0.500 0.000 0.000
H: 0.990 0.102 0.708
H: 0.398 0.510 0.292
H: 0.010 0.898 0.292
H: 0.602 0.490 0.708
H: 0.079 0.579 0.682
H: 0.921 0.421 0.318
Ru: 0.247 0.253 0.500
Ru: 0.753 0.747 0.500

Calculated volume ... 87.3 Å³/cell
Total magnetic moment ... 0.0000 μB/atom
Density ... 6.60 g/cm3
Raw total energy ... -0.1838 hartree per atom

***

5.
# Ca2GaP3Ir4

A relaxed structure of Ca2GaP3Ir4 (PBE, the Alexandria database).

Lattice parameters (Å, degrees): 4.094 4.094 9.995 90.00 90.00 90.00
Atoms (fractional coordinates):
Ca: 0.500 0.000 0.252
Ca: 0.000 0.500 0.748
Ga: 0.500 0.500 0.500
P: 0.000 0.000 0.500
P: 0.500 0.000 0.866
P: 0.000 0.500 0.134
Ir: 0.500 0.500 0.000
Ir: 0.000 0.000 0.000
Ir: 0.500 0.000 0.637
Ir: 0.000 0.500 0.363

Calculated volume ... 167.6 Å³/cell
Total magnetic moment ... 0.0000 μB/atom
Density ... 10.03 g/cm3
Raw total energy ... -0.2440 hartree per atom

***

6.
# TlFe2Os

A relaxed structure of TlFe2Os (PBE, the Alexandria database).

Lattice parameters (Å, degrees): 5.189 5.189 5.189 144.87 128.36 64.00
Atoms (fractional coordinates):
Fe: 0.985 0.985 0.000
Fe: 0.515 0.515 0.000
Os: 0.750 0.250 0.500
Tl: 0.250 0.750 0.500

Energy above the lowest structure with this stoichiometry ... 0.680 eV per formula unit
Calculated volume ... 62.3 Å³/cell
Total magnetic moment ... 1.4882 μB/atom
Density ... 13.49 g/cm3
Raw total energy ... -0.2551 hartree per atom

***

- Look up the raw total energy of the fifth one.
  -0.2440 hartree per atom

***

- What is the raw total energy in the first record?
  -0.1868 hartree per atom

***

- Look up the density of the first one.
  10.30 g/cm3